Version i
Ba4NaPd: optimized geometry, PBE-GGA.

## Properties
DOS(E_F)   9.0 states/eV per cell

```
Ba4NaPd
1.0
5.497 -8.797 0.000
5.497 8.797 0.000
-4.163 0.000 6.789
Ba Na Pd
8 2 2
Direct
0.058 0.648 0.846 Ba
0.156 0.254 0.706 Ba
0.254 0.156 0.206 Ba
0.352 0.942 0.654 Ba
0.648 0.058 0.346 Ba
0.746 0.844 0.794 Ba
0.844 0.746 0.294 Ba
0.942 0.352 0.154 Ba
0.388 0.612 0.250 Na
0.612 0.388 0.750 Na
0.072 0.928 0.750 Pd
0.928 0.072 0.250 Pd
```

Version ii
Ba4NaPd: optimized geometry, PBE-GGA.

## Properties
DOS(E_F)   9.1 states/eV per cell

```
Ba4NaPd
1.0
3.280 -11.358 0.000
3.280 11.358 0.000
0.000 0.000 8.654
Ba Na Pd
8 2 2
Direct
0.021 0.979 0.500 Ba
0.172 0.828 0.103 Ba
0.210 0.790 0.603 Ba
0.401 0.599 0.318 Ba
0.599 0.401 0.818 Ba
0.790 0.210 0.103 Ba
0.828 0.172 0.603 Ba
0.979 0.021 0.000 Ba
0.379 0.621 0.835 Na
0.621 0.379 0.335 Na
0.097 0.903 0.806 Pd
0.903 0.097 0.306 Pd
```

Which of them is least stable? Easy: version i.

Version i
BaNa3Pd: optimized geometry, PBE-GGA.

## Properties
DOS(E_F)   3.5 states/eV per cell

```
BaNa3Pd
1.0
6.651 0.000 0.000
0.000 6.651 0.000
0.000 0.000 6.651
Ba Na Pd
1 3 1
Direct
0.000 0.000 0.000 Ba
0.000 0.000 0.500 Na
0.000 0.500 0.000 Na
0.500 0.000 0.000 Na
0.500 0.500 0.500 Pd
```

Version ii
BaNa3Pd: optimized geometry, PBE-GGA.

## Properties
DOS(E_F)   2.4 states/eV per cell

```
BaNa3Pd
1.0
5.626 0.000 0.000
0.000 5.626 0.000
0.000 0.000 5.626
Ba Na Pd
1 3 1
Direct
0.000 0.000 0.000 Ba
0.000 0.500 0.500 Na
0.500 0.000 0.500 Na
0.500 0.500 0.000 Na
0.500 0.500 0.500 Pd
```

Version iii
BaNa3Pd: optimized geometry, PBE-GGA.

## Properties
DOS(E_F)   5.2 states/eV per cell

```
BaNa3Pd
1.0
5.997 0.000 0.000
0.001 6.951 0.000
0.000 0.047 8.694
Ba Na Pd
2 6 2
Direct
0.000 0.000 0.000 Ba
0.247 0.500 0.501 Ba
0.284 0.518 0.001 Na
0.503 0.944 0.709 Na
0.503 0.945 0.290 Na
0.744 0.443 0.210 Na
0.744 0.446 0.791 Na
0.963 0.018 0.500 Na
0.513 0.154 0.998 Pd
0.734 0.654 0.499 Pd
```

Which of them is least stable? Easy: version i.

Version i
Ba2NaSrPd: optimized geometry, PBE-GGA.

## Properties
DOS(E_F)   3.4 states/eV per cell

```
Ba2NaSrPd
1.0
6.327 0.000 0.000
0.000 6.327 0.000
0.000 0.000 6.103
Ba Na Sr Pd
2 1 1 1
Direct
0.000 0.500 0.000 Ba
0.500 0.000 0.000 Ba
0.000 0.000 0.500 Na
0.500 0.500 0.500 Sr
0.500 0.500 0.000 Pd
```

Version ii
Ba2NaSrPd: optimized geometry, PBE-GGA.

## Properties
DOS(E_F)   5.6 states/eV per cell

```
Ba2NaSrPd
1.0
6.240 0.000 0.000
0.000 6.240 0.000
0.000 0.000 6.055
Ba Na Sr Pd
2 1 1 1
Direct
0.000 0.500 0.000 Ba
0.500 0.000 0.000 Ba
0.000 0.000 0.500 Na
0.500 0.500 0.500 Sr
0.000 0.000 0.000 Pd
```

Which of them is least stable? Easy: version ii.